No. 1
Computed, not measured: TcGe2Rh after structural relaxation at the GGA-PBE level of DFT. Values from VASP.

SG: No. 123
Magnetic moment, μB/cell: 0.0
ΔE_f, eV per atom: -0.2900
DOS at the Fermi energy, states/eV per atom: 0.350

```
&SYSTEM
  ibrav = 0, nat = 4, ntyp = 3
/
ATOMIC_SPECIES
Tc 98.00 Tc.upf
Ge 72.64 Ge.upf
Rh 102.91 Rh.upf
CELL_PARAMETERS angstrom
4.299 0.000 0.000
0.000 4.299 0.000
0.000 0.000 3.108
ATOMIC_POSITIONS angstrom
Tc 0.000 0.000 0.000
Ge 0.000 2.150 1.554
Ge 2.150 0.000 1.554
Rh 2.150 2.150 0.000
```

=====

No. 2
Computed, not measured: TcGe4Rh2 after structural relaxation at the GGA-PBE level of DFT. Values from VASP.

SG: No. 12
Magnetic moment, μB/cell: 0.2
ΔE_f, eV per atom: -0.2838
DOS at the Fermi energy, states/eV per atom: 0.657

```
&SYSTEM
  ibrav = 0, nat = 7, ntyp = 3
/
ATOMIC_SPECIES
Tc 98.00 Tc.upf
Ge 72.64 Ge.upf
Rh 102.91 Rh.upf
CELL_PARAMETERS angstrom
6.552 -1.559 0.000
6.552 1.559 0.000
-2.726 0.000 5.950
ATOMIC_POSITIONS angstrom
Tc 0.000 0.000 0.000
Ge -0.378 0.000 5.105
Ge 3.402 0.000 4.059
Ge 6.976 0.000 1.891
Ge 10.755 0.000 0.845
Rh 2.528 0.000 1.815
Rh 7.849 0.000 4.135
```

=====

No. 3
Computed, not measured: TcGeRh3 after structural relaxation at the GGA-PBE level of DFT. Values from VASP.

SG: No. 221
Magnetic moment, μB/cell: 4.2
ΔE_f, eV per atom: 0.8740
DOS at the Fermi energy, states/eV per atom: 0.998

```
&SYSTEM
  ibrav = 0, nat = 5, ntyp = 3
/
ATOMIC_SPECIES
Tc 98.00 Tc.upf
Ge 72.64 Ge.upf
Rh 102.91 Rh.upf
CELL_PARAMETERS angstrom
4.503 0.000 0.000
0.000 4.503 0.000
0.000 0.000 4.503
ATOMIC_POSITIONS angstrom
Tc 0.000 0.000 0.000
Ge 2.252 2.252 2.252
Rh 0.000 2.252 2.252
Rh 2.252 0.000 2.252
Rh 2.252 2.252 0.000
```

=====

No. 4
Computed, not measured: Tc3Ge6Rh after structural relaxation at the GGA-PBE level of DFT. Values from VASP.

SG: No. 14
Magnetic moment, μB/cell: 0.0
ΔE_f, eV per atom: -0.0729
DOS at the Fermi energy, states/eV per atom: 0.631

```
&SYSTEM
  ibrav = 0, nat = 20, ntyp = 3
/
ATOMIC_SPECIES
Tc 98.00 Tc.upf
Ge 72.64 Ge.upf
Rh 102.91 Rh.upf
CELL_PARAMETERS angstrom
6.167 0.000 0.000
0.000 6.583 0.000
-3.050 0.000 8.205
ATOMIC_POSITIONS angstrom
Tc 0.000 0.000 0.000
Tc -1.525 3.291 4.103
Tc -0.918 0.887 6.036
Tc 0.607 2.405 1.934
Tc 2.509 4.178 6.272
Tc 4.035 5.696 2.169
Ge -0.803 0.926 3.449
Ge -2.329 2.365 7.551
Ge 0.322 4.636 3.227
Ge -1.203 5.239 7.330
Ge 1.885 0.199 1.638
Ge 0.360 3.093 5.740
Ge 2.756 3.490 2.465
Ge 1.231 6.384 6.567
Ge 4.319 1.344 0.875
Ge 2.794 1.947 4.978
Ge 5.445 4.217 0.654
Ge 3.920 5.657 4.757
Rh 1.558 0.000 4.103
Rh 3.083 3.291 0.000
```

=====

No. 5
Computed, not measured: TcGe2Rh2 after structural relaxation at the GGA-PBE level of DFT. Values from VASP.

SG: No. 127
Magnetic moment, μB/cell: 0.0
ΔE_f, eV per atom: -0.2068
DOS at the Fermi energy, states/eV per atom: 0.501

```
&SYSTEM
  ibrav = 0, nat = 10, ntyp = 3
/
ATOMIC_SPECIES
Tc 98.00 Tc.upf
Ge 72.64 Ge.upf
Rh 102.91 Rh.upf
CELL_PARAMETERS angstrom
7.203 0.000 0.000
0.000 7.203 0.000
0.000 0.000 2.810
ATOMIC_POSITIONS angstrom
Tc 0.000 0.000 0.000
Tc 3.601 3.601 0.000
Ge 1.109 2.492 0.000
Ge 2.492 6.094 0.000
Ge 4.710 1.109 0.000
Ge 6.094 4.710 0.000
Rh 1.053 4.654 1.405
Rh 2.549 1.053 1.405
Rh 4.654 6.150 1.405
Rh 6.150 2.549 1.405
```

=====

No. 6
Computed, not measured: Tc2GeRh2 after structural relaxation at the GGA-PBE level of DFT. Values from VASP.

SG: No. 139
Magnetic moment, μB/cell: 0.0
ΔE_f, eV per atom: 0.2141
DOS at the Fermi energy, states/eV per atom: 0.713

```
&SYSTEM
  ibrav = 0, nat = 5, ntyp = 3
/
ATOMIC_SPECIES
Tc 98.00 Tc.upf
Ge 72.64 Ge.upf
Rh 102.91 Rh.upf
CELL_PARAMETERS angstrom
-1.729 1.729 6.720
1.729 -1.729 6.720
1.729 1.729 -6.720
ATOMIC_POSITIONS angstrom
Tc 1.729 0.000 3.360
Tc 0.000 1.729 3.360
Ge 0.000 0.000 0.000
Rh 0.000 0.000 5.415
Rh 0.000 0.000 8.025
```

=====

No. 7
Computed, not measured: TcGe6Rh3 after structural relaxation at the GGA-PBE level of DFT. Values from VASP.

SG: No. 14
Magnetic moment, μB/cell: 0.0
ΔE_f, eV per atom: -0.2386
DOS at the Fermi energy, states/eV per atom: 0.322

```
&SYSTEM
  ibrav = 0, nat = 20, ntyp = 3
/
ATOMIC_SPECIES
Tc 98.00 Tc.upf
Ge 72.64 Ge.upf
Rh 102.91 Rh.upf
CELL_PARAMETERS angstrom
6.399 0.000 0.000
0.000 6.388 0.000
-3.985 0.000 8.183
ATOMIC_POSITIONS angstrom
Tc 0.000 0.000 0.000
Tc -1.992 3.194 4.091
Ge -1.122 0.886 3.530
Ge -3.115 2.308 7.621
Ge -0.015 4.429 3.272
Ge -2.008 5.153 7.363
Ge 1.806 0.084 1.703
Ge -0.186 3.110 5.795
Ge 2.601 3.278 2.388
Ge 0.609 6.304 6.479
Ge 4.423 1.235 0.820
Ge 2.430 1.959 4.911
Ge 5.529 4.079 0.562
Ge 3.537 5.502 4.653
Rh -1.632 0.934 6.093
Rh 0.360 2.260 2.001
Rh 1.207 0.000 4.091
Rh 3.200 3.194 0.000
Rh 2.055 4.127 6.181
Rh 4.047 5.454 2.090
```

=====

No. 8
Computed, not measured: TcGeRh3 after structural relaxation at the GGA-PBE level of DFT. Values from VASP.

SG: No. 221
Magnetic moment, μB/cell: 0.0
ΔE_f, eV per atom: 1.1575
DOS at the Fermi energy, states/eV per atom: 0.834

```
&SYSTEM
  ibrav = 0, nat = 5, ntyp = 3
/
ATOMIC_SPECIES
Tc 98.00 Tc.upf
Ge 72.64 Ge.upf
Rh 102.91 Rh.upf
CELL_PARAMETERS angstrom
4.674 0.000 0.000
0.000 4.674 0.000
0.000 0.000 4.674
ATOMIC_POSITIONS angstrom
Tc 0.000 0.000 0.000
Ge 2.337 2.337 2.337
Rh 0.000 0.000 2.337
Rh 0.000 2.337 0.000
Rh 2.337 0.000 0.000
```

=====

No. 9
Computed, not measured: TcGe2Rh after structural relaxation at the GGA-PBE level of DFT. Values from VASP.

SG: No. 71
Magnetic moment, μB/cell: 0.8
ΔE_f, eV per atom: 0.4510
DOS at the Fermi energy, states/eV per atom: 1.018

```
&SYSTEM
  ibrav = 0, nat = 4, ntyp = 3
/
ATOMIC_SPECIES
Tc 98.00 Tc.upf
Ge 72.64 Ge.upf
Rh 102.91 Rh.upf
CELL_PARAMETERS angstrom
-1.374 2.457 4.961
1.374 -2.457 4.961
1.374 2.457 -4.961
ATOMIC_POSITIONS angstrom
Tc 0.000 0.000 0.000
Ge 0.000 0.000 2.544
Ge 0.000 0.000 7.378
Rh 0.000 0.000 4.961
```

=====

No. 10
Computed, not measured: TcGe2Rh after structural relaxation at the GGA-PBE level of DFT. Values from VASP.

SG: No. 160
Magnetic moment, μB/cell: 0.0
ΔE_f, eV per atom: -0.1251
DOS at the Fermi energy, states/eV per atom: 0.389

```
&SYSTEM
  ibrav = 0, nat = 4, ntyp = 3
/
ATOMIC_SPECIES
Tc 98.00 Tc.upf
Ge 72.64 Ge.upf
Rh 102.91 Rh.upf
CELL_PARAMETERS angstrom
1.845 1.065 5.496
-1.845 1.065 5.496
0.000 -2.130 5.496
ATOMIC_POSITIONS angstrom
Tc 0.000 0.000 0.000
Ge 0.000 0.000 9.637
Ge 0.000 0.000 12.449
Rh 0.000 0.000 2.920
```

=====

No. 11
Computed, not measured: Tc2Ge4Rh after structural relaxation at the GGA-PBE level of DFT. Values from VASP.

SG: No. 12
Magnetic moment, μB/cell: 0.0
ΔE_f, eV per atom: -0.1711
DOS at the Fermi energy, states/eV per atom: 0.421

```
&SYSTEM
  ibrav = 0, nat = 7, ntyp = 3
/
ATOMIC_SPECIES
Tc 98.00 Tc.upf
Ge 72.64 Ge.upf
Rh 102.91 Rh.upf
CELL_PARAMETERS angstrom
6.921 -1.637 0.000
6.921 1.637 0.000
-2.163 0.000 5.169
ATOMIC_POSITIONS angstrom
Tc 2.883 0.000 1.290
Tc 8.796 0.000 3.879
Ge -0.024 0.000 3.985
Ge 3.860 0.000 3.556
Ge 7.819 0.000 1.613
Ge 11.703 0.000 1.184
Rh 0.000 0.000 0.000
```

=====

No. 12
Computed, not measured: TcGe2Rh after structural relaxation at the GGA-PBE level of DFT. Values from VASP.

SG: No. 225
Magnetic moment, μB/cell: 0.0
ΔE_f, eV per atom: -0.2740
DOS at the Fermi energy, states/eV per atom: 0.222

```
&SYSTEM
  ibrav = 0, nat = 4, ntyp = 3
/
ATOMIC_SPECIES
Tc 98.00 Tc.upf
Ge 72.64 Ge.upf
Rh 102.91 Rh.upf
CELL_PARAMETERS angstrom
0.000 3.063 3.063
3.063 0.000 3.063
3.063 3.063 0.000
ATOMIC_POSITIONS angstrom
Tc 0.000 0.000 0.000
Ge 1.532 1.532 1.532
Ge 4.595 4.595 4.595
Rh 3.063 3.063 3.063
```

=====

No. 13
Computed, not measured: Tc5Ge6Rh after structural relaxation at the GGA-PBE level of DFT. Values from VASP.

SG: No. 12
Magnetic moment, μB/cell: 0.0
ΔE_f, eV per atom: -0.0178
DOS at the Fermi energy, states/eV per atom: 1.057

```
&SYSTEM
  ibrav = 0, nat = 12, ntyp = 3
/
ATOMIC_SPECIES
Tc 98.00 Tc.upf
Ge 72.64 Ge.upf
Rh 102.91 Rh.upf
CELL_PARAMETERS angstrom
2.564 -4.443 0.000
2.564 4.443 0.000
-1.722 0.000 7.891
ATOMIC_POSITIONS angstrom
Tc 0.000 0.000 0.000
Tc 1.704 2.974 3.946
Tc 2.564 1.440 0.000
Tc 2.564 -1.440 0.000
Tc 1.704 -2.974 3.946
Ge 0.837 1.520 1.974
Ge -0.038 0.000 5.913
Ge 0.837 -1.520 1.974
Ge 2.570 1.520 5.917
Ge 3.445 0.000 1.978
Ge 2.570 -1.520 5.917
Rh 1.704 0.000 3.946
```

=====

No. 14
Computed, not measured: TcGe2Rh after structural relaxation at the GGA-PBE level of DFT. Values from VASP.

SG: No. 139
Magnetic moment, μB/cell: 2.2
ΔE_f, eV per atom: 0.5269
DOS at the Fermi energy, states/eV per atom: 0.699

```
&SYSTEM
  ibrav = 0, nat = 4, ntyp = 3
/
ATOMIC_SPECIES
Tc 98.00 Tc.upf
Ge 72.64 Ge.upf
Rh 102.91 Rh.upf
CELL_PARAMETERS angstrom
-1.885 1.885 4.983
1.885 -1.885 4.983
1.885 1.885 -4.983
ATOMIC_POSITIONS angstrom
Tc 0.000 0.000 0.000
Ge 0.000 0.000 2.562
Ge 0.000 0.000 7.404
Rh 0.000 0.000 4.983
```

=====

No. 15
Computed, not measured: ThTcGe2Rh after structural relaxation at the GGA-PBE level of DFT. Values from VASP.

SG: No. 119
Magnetic moment, μB/cell: 0.0
ΔE_f, eV per atom: -0.7021
DOS at the Fermi energy, states/eV per atom: 0.727

```
&SYSTEM
  ibrav = 0, nat = 5, ntyp = 4
/
ATOMIC_SPECIES
Th 232.04 Th.upf
Tc 98.00 Tc.upf
Ge 72.64 Ge.upf
Rh 102.91 Rh.upf
CELL_PARAMETERS angstrom
-2.156 2.156 5.038
2.156 -2.156 5.038
2.156 2.156 -5.038
ATOMIC_POSITIONS angstrom
Th 0.000 0.000 0.000
Tc 0.000 2.156 2.519
Ge 0.000 0.000 3.742
Ge 0.000 0.000 6.334
Rh 2.156 0.000 2.519
```

=====

No. 16
Computed, not measured: Th2TcGe4Rh3 after structural relaxation at the GGA-PBE level of DFT. Values from VASP.

SG: No. 115
Magnetic moment, μB/cell: 0.0
ΔE_f, eV per atom: -0.7893
DOS at the Fermi energy, states/eV per atom: 0.634

```
&SYSTEM
  ibrav = 0, nat = 10, ntyp = 4
/
ATOMIC_SPECIES
Th 232.04 Th.upf
Tc 98.00 Tc.upf
Ge 72.64 Ge.upf
Rh 102.91 Rh.upf
CELL_PARAMETERS angstrom
4.346 0.000 0.000
0.000 4.346 0.000
0.000 0.000 9.870
ATOMIC_POSITIONS angstrom
Th 0.000 2.173 2.442
Th 2.173 0.000 7.429
Tc 2.173 2.173 0.000
Ge 0.000 0.000 4.935
Ge 0.000 2.173 8.623
Ge 2.173 0.000 1.247
Ge 2.173 2.173 4.935
Rh 0.000 0.000 0.000
Rh 0.000 2.173 6.167
Rh 2.173 0.000 3.704
```

=====

No. 17
Computed, not measured: ZnTcGeRh after structural relaxation at the GGA-PBE level of DFT. Values from VASP.

SG: No. 216
Magnetic moment, μB/cell: 0.0
ΔE_f, eV per atom: -0.1909
DOS at the Fermi energy, states/eV per atom: 1.351

```
&SYSTEM
  ibrav = 0, nat = 4, ntyp = 4
/
ATOMIC_SPECIES
Zn 65.41 Zn.upf
Tc 98.00 Tc.upf
Ge 72.64 Ge.upf
Rh 102.91 Rh.upf
CELL_PARAMETERS angstrom
0.000 3.039 3.039
3.039 0.000 3.039
3.039 3.039 0.000
ATOMIC_POSITIONS angstrom
Zn 0.000 0.000 0.000
Tc 1.519 1.519 1.519
Ge 3.039 3.039 3.039
Rh 4.558 4.558 4.558
```

=====

No. 18
Computed, not measured: Ge3TeRh after structural relaxation at the GGA-PBE level of DFT. Values from VASP.

SG: No. 221
Uncorrected formation energy, eV per atom: 0.0000
Magnetic moment, μB/cell: 0.0
DOS at the Fermi energy, states/eV per atom: 0.452

```
&SYSTEM
  ibrav = 0, nat = 5, ntyp = 3
/
ATOMIC_SPECIES
Ge 72.64 Ge.upf
Te 127.60 Te.upf
Rh 102.91 Rh.upf
CELL_PARAMETERS angstrom
4.844 0.000 0.000
0.000 4.844 0.000
0.000 0.000 4.844
ATOMIC_POSITIONS angstrom
Ge 0.000 0.000 2.422
Ge 0.000 2.422 0.000
Ge 2.422 0.000 0.000
Te 2.422 2.422 2.422
Rh 0.000 0.000 0.000
```

=====

No. 19
Computed, not measured: GeTe3Rh after structural relaxation at the GGA-PBE level of DFT. Values from VASP.

SG: No. 221
Uncorrected formation energy, eV per atom: 0.4112
Magnetic moment, μB/cell: 0.0
DOS at the Fermi energy, states/eV per atom: 1.143

```
&SYSTEM
  ibrav = 0, nat = 5, ntyp = 3
/
ATOMIC_SPECIES
Ge 72.64 Ge.upf
Te 127.60 Te.upf
Rh 102.91 Rh.upf
CELL_PARAMETERS angstrom
5.223 0.000 0.000
0.000 5.223 0.000
0.000 0.000 5.223
ATOMIC_POSITIONS angstrom
Ge 0.000 0.000 0.000
Te 0.000 2.611 2.611
Te 2.611 0.000 2.611
Te 2.611 2.611 0.000
Rh 2.611 2.611 2.611
```

=====

No. 20
Computed, not measured: Ge2TeRh2 after structural relaxation at the GGA-PBE level of DFT. Values from VASP.

SG: No. 127
Uncorrected formation energy, eV per atom: -0.2056
Magnetic moment, μB/cell: 0.0
DOS at the Fermi energy, states/eV per atom: 0.716

```
&SYSTEM
  ibrav = 0, nat = 10, ntyp = 3
/
ATOMIC_SPECIES
Ge 72.64 Ge.upf
Te 127.60 Te.upf
Rh 102.91 Rh.upf
CELL_PARAMETERS angstrom
7.577 0.000 0.000
0.000 7.577 0.000
0.000 0.000 2.996
ATOMIC_POSITIONS angstrom
Ge 1.080 2.708 0.000
Ge 2.708 6.497 0.000
Ge 4.869 1.080 0.000
Ge 6.497 4.869 0.000
Te 0.000 0.000 1.498
Te 3.789 3.789 1.498
Rh 1.099 4.888 1.498
Rh 2.689 1.099 1.498
Rh 4.888 6.478 1.498
Rh 6.478 2.689 1.498
```